An optimized crystal structure of NaNbW, computed with PBE.

Output
**Total moment**: 0.00 μB/cell
**Density of states at the Fermi level**: 0.7630 states/eV per atom
**SG**: Cm, No. 8
**Energy relative to the elements**: 0.55 eV per atom
**Energy above the lowest structure with this stoichiometry**: 0.2814 eV per atom

Cell lengths 2.7720, 2.7720, 8.3555 Å; angles 102.72, 102.72, 70.72 degrees
Sites, in units of the cell vectors:
Na: 0.0000 0.0000 0.0000
Nb: 0.3179 0.3179 0.6286
W: 0.6773 0.6773 0.3473